# 1
# K2AcCl6 (PBE, optimized geometry)
data_K2AcCl6
_chemical_formula_sum 'K4 Ac2 Cl12'
_symmetry_space_group_name_H-M 'A m m 2'
_symmetry_Int_Tables_number 38
_cell_length_a 4.5911
_cell_length_b 14.2624
_cell_length_c 8.2014
_cell_angle_alpha 90.00
_cell_angle_beta 90.00
_cell_angle_gamma 90.00
loop_
_symmetry_equiv_pos_as_xyz
'x,y,z'
'-x,-y,z'
'-x,y,z'
'x,-y,z'
'x,y+1/2,z+1/2'
'-x,-y+1/2,z+1/2'
'-x,y+1/2,z+1/2'
'x,-y+1/2,z+1/2'
loop_
_atom_site_label
_atom_site_fract_x
_atom_site_fract_y
_atom_site_fract_z
_atom_site_occupancy
K1 0.0000 0.1673 0.0000 1
Ac1 0.5000 0.0000 0.5020 1
Cl1 0.0000 0.0000 0.7469 1
Cl2 0.0000 0.1220 0.3781 1
Cl3 0.5000 0.0000 0.1352 1
Cl4 0.5000 0.1834 0.6833 1
# Crystal system: orthorhombic
# Uncorrected formation energy: -1.90 eV per atom

---

# 2
# KAc2Cl7 (PBE, optimized geometry)
data_KAc2Cl7
_chemical_formula_sum 'K3 Ac6 Cl21'
_symmetry_space_group_name_H-M 'R -3 m'
_symmetry_Int_Tables_number 166
_symmetry_space_group_name_Hall '-R 3 2"'
_cell_length_a 5.1598
_cell_length_b 5.1598
_cell_length_c 42.8443
_cell_angle_alpha 90.00
_cell_angle_beta 90.00
_cell_angle_gamma 120.00
loop_
_atom_site_label
_atom_site_fract_x
_atom_site_fract_y
_atom_site_fract_z
_atom_site_occupancy
K1 0.0000 0.0000 0.0000 1
Ac1 0.0000 0.0000 0.4321 1
Cl1 0.0000 0.0000 0.0811 1
Cl2 0.0000 0.0000 0.2178 1
Cl3 0.0000 0.0000 0.3657 1
Cl4 0.0000 0.0000 0.5000 1
# Crystal system: trigonal
# Uncorrected formation energy: -2.34 eV per atom

---

# 3
# K5Ac3Cl12 (PBE, optimized geometry)
data_K5Ac3Cl12
_chemical_formula_sum 'K40 Ac24 Cl96'
_symmetry_space_group_name_H-M 'I a -3 d'
_symmetry_Int_Tables_number 230
_symmetry_space_group_name_Hall '-I 4bd 2c 3'
_cell_length_a 17.8360
_cell_length_b 17.8360
_cell_length_c 17.8360
_cell_angle_alpha 90.00
_cell_angle_beta 90.00
_cell_angle_gamma 90.00
loop_
_atom_site_label
_atom_site_fract_x
_atom_site_fract_y
_atom_site_fract_z
_atom_site_occupancy
K1 0.0000 0.0000 0.0000 1
K2 0.0000 0.2500 0.3750 1
Ac1 0.0000 0.2500 0.1250 1
Cl1 0.0207 0.0864 0.6486 1
# Crystal system: cubic
# Uncorrected formation energy: -1.93 eV per atom